{
  "formula": "Cs2CoBr2F2",
  "functional": "GGA+U",
  "state": "relaxed",
  "final_energy_ev_per_atom": -3.8629,
  "volume_a3_per_atom": 28.79,
  "lattice": [[-1.775, 2.030, 3.214], [3.923, -1.498, 5.852], [5.183, 5.492, 2.132]],
  "species": ["Br", "Br", "Cs", "Cs", "F", "F", "Co"],
  "fractional_positions": [[0.541, 0.178, 0.740], [0.459, 0.822, 0.260], [0.184, 0.350, 0.282], [0.816, 0.650, 0.718], [0.155, 0.755, 0.935], [0.845, 0.245, 0.065], [0.000, 0.000, 0.000]]
}